[1]
# Y2TcW (GGA-PBEsol, optimized geometry)
data_Y2TcW
_chemical_formula_sum 'Y2 Tc1 W1'
_symmetry_space_group_name_H-M 'P 1'
_symmetry_Int_Tables_number 1
_symmetry_space_group_name_Hall 'P 1'
_cell_length_a 4.839
_cell_length_b 4.839
_cell_length_c 4.839
_cell_angle_alpha 60.00
_cell_angle_beta 60.00
_cell_angle_gamma 60.00
loop_
_atom_site_label
_atom_site_type_symbol
_atom_site_fract_x
_atom_site_fract_y
_atom_site_fract_z
Y1 Y 0.250 0.250 0.250
Y2 Y 0.750 0.750 0.750
W1 W 0.500 0.500 0.500
Tc1 Tc 0.000 0.000 0.000
# Space group: Fm-3m, No. 225
# Polymorph energy (0 for the lowest one) in eV/atom: 0.473
# Energy relative to the elements in eV/atom: 0.66
# VASP energy in eV per atom: -9.023


[2]
# MgTaAu (GGA-PBEsol, optimized geometry)
data_MgTaAu
_chemical_formula_sum 'Mg1 Ta1 Au1'
_symmetry_space_group_name_H-M 'P 1'
_symmetry_Int_Tables_number 1
_symmetry_space_group_name_Hall 'P 1'
_cell_length_a 2.935
_cell_length_b 4.547
_cell_length_c 4.547
_cell_angle_alpha 120.00
_cell_angle_beta 90.00
_cell_angle_gamma 90.00
loop_
_atom_site_label
_atom_site_type_symbol
_atom_site_fract_x
_atom_site_fract_y
_atom_site_fract_z
Au1 Au 0.978 0.000 0.000
Mg1 Mg 0.737 0.333 0.667
Ta1 Ta 0.285 0.667 0.333
# Space group: P3m1, No. 156
# Polymorph energy (0 for the lowest one) in eV/atom: 0.000
# Energy relative to the elements in eV/atom: 0.14
# VASP energy in eV per atom: -5.922


[3]
# TlCuH2Ru (GGA-PBEsol, optimized geometry)
data_TlCuH2Ru
_chemical_formula_sum 'Tl1 Cu1 H2 Ru1'
_symmetry_space_group_name_H-M 'P 1'
_symmetry_Int_Tables_number 1
_symmetry_space_group_name_Hall 'P 1'
_cell_length_a 3.587
_cell_length_b 3.587
_cell_length_c 4.872
_cell_angle_alpha 90.00
_cell_angle_beta 90.00
_cell_angle_gamma 90.00
loop_
_atom_site_label
_atom_site_type_symbol
_atom_site_fract_x
_atom_site_fract_y
_atom_site_fract_z
H1 H 0.000 0.500 0.000
H2 H 0.500 0.000 0.000
Tl1 Tl 0.500 0.500 0.500
Ru1 Ru 0.000 0.000 0.000
Cu1 Cu 0.000 0.000 0.500
# Space group: P4/mmm, No. 123
# VASP energy in eV per atom: -4.172


[4]
# ErSi2Rh3 (GGA-PBEsol, optimized geometry)
data_ErSi2Rh3
_chemical_formula_sum 'Er1 Si2 Rh3'
_symmetry_space_group_name_H-M 'P 1'
_symmetry_Int_Tables_number 1
_symmetry_space_group_name_Hall 'P 1'
_cell_length_a 3.652
_cell_length_b 5.416
_cell_length_c 5.416
_cell_angle_alpha 120.00
_cell_angle_beta 90.00
_cell_angle_gamma 90.00
loop_
_atom_site_label
_atom_site_type_symbol
_atom_site_fract_x
_atom_site_fract_y
_atom_site_fract_z
Si1 Si 0.000 0.667 0.333
Si2 Si 0.000 0.333 0.667
Rh1 Rh 0.500 0.500 0.500
Rh2 Rh 0.500 0.500 0.000
Rh3 Rh 0.500 0.000 0.500
Er1 Er 0.000 0.000 0.000
# Space group: P6/mmm, No. 191
# Formation energy (no corrections) in kJ per mole of atoms: -102
# VASP energy in eV per atom: -7.863


[5]
# YGa2TcPt (GGA-PBEsol, optimized geometry)
data_YGa2TcPt
_chemical_formula_sum 'Y1 Ga2 Tc1 Pt1'
_symmetry_space_group_name_H-M 'P 1'
_symmetry_Int_Tables_number 1
_symmetry_space_group_name_Hall 'P 1'
_cell_length_a 4.601
_cell_length_b 4.601
_cell_length_c 5.125
_cell_angle_alpha 90.00
_cell_angle_beta 90.00
_cell_angle_gamma 90.00
loop_
_atom_site_label
_atom_site_type_symbol
_atom_site_fract_x
_atom_site_fract_y
_atom_site_fract_z
Ga1 Ga 0.500 0.000 0.000
Ga2 Ga 0.000 0.500 0.000
Pt1 Pt 0.000 0.000 0.000
Y1 Y 0.500 0.500 0.500
Tc1 Tc 0.000 0.000 0.500
# Space group: P4/mmm, No. 123
# Energy relative to the elements in eV/atom: 0.30
# VASP energy in eV per atom: -6.045


[6]
# ScPOs2 (GGA-PBEsol, optimized geometry)
data_ScPOs2
_chemical_formula_sum 'Sc1 P1 Os2'
_symmetry_space_group_name_H-M 'P 1'
_symmetry_Int_Tables_number 1
_symmetry_space_group_name_Hall 'P 1'
_cell_length_a 4.376
_cell_length_b 4.376
_cell_length_c 4.376
_cell_angle_alpha 60.00
_cell_angle_beta 60.00
_cell_angle_gamma 60.00
loop_
_atom_site_label
_atom_site_type_symbol
_atom_site_fract_x
_atom_site_fract_y
_atom_site_fract_z
Sc1 Sc 0.250 0.250 0.250
Os1 Os 0.750 0.750 0.750
Os2 Os 0.000 0.000 0.000
P1 P 0.500 0.500 0.500
# Space group: F-43m, No. 216
# Energy relative to the elements in eV/atom: 0.19
# VASP energy in eV per atom: -9.017


[7]
# Be2Nb2Sn (GGA-PBEsol, optimized geometry)
data_Be2Nb2Sn
_chemical_formula_sum 'Be4 Nb4 Sn2'
_symmetry_space_group_name_H-M 'P 1'
_symmetry_Int_Tables_number 1
_symmetry_space_group_name_Hall 'P 1'
_cell_length_a 3.594
_cell_length_b 6.290
_cell_length_c 6.290
_cell_angle_alpha 90.00
_cell_angle_beta 90.00
_cell_angle_gamma 90.00
loop_
_atom_site_label
_atom_site_type_symbol
_atom_site_fract_x
_atom_site_fract_y
_atom_site_fract_z
Nb1 Nb 0.500 0.824 0.324
Nb2 Nb 0.500 0.676 0.824
Nb3 Nb 0.500 0.176 0.676
Nb4 Nb 0.500 0.324 0.176
Be1 Be 0.000 0.613 0.113
Be2 Be 0.000 0.387 0.887
Be3 Be 0.000 0.887 0.613
Be4 Be 0.000 0.113 0.387
Sn1 Sn 0.000 0.000 0.000
Sn2 Sn 0.000 0.500 0.500
# Space group: P4/mbm, No. 127
# Energy relative to the elements in eV/atom: -0.17
# VASP energy in eV per atom: -6.946


[8]
# La3Ni2O7 (GGA-PBEsol, optimized geometry)
data_La3Ni2O7
_chemical_formula_sum 'La6 Ni4 O14'
_symmetry_space_group_name_H-M 'P 1'
_symmetry_Int_Tables_number 1
_symmetry_space_group_name_Hall 'P 1'
_cell_length_a 5.357
_cell_length_b 5.399
_cell_length_c 10.314
_cell_angle_alpha 105.17
_cell_angle_beta 90.00
_cell_angle_gamma 90.00
loop_
_atom_site_label
_atom_site_type_symbol
_atom_site_fract_x
_atom_site_fract_y
_atom_site_fract_z
La1 La 0.250 0.747 0.000
La2 La 0.250 0.578 0.643
La3 La 0.750 0.422 0.357
La4 La 0.750 0.065 0.643
La5 La 0.750 0.253 0.000
La6 La 0.250 0.935 0.357
O1 O 0.750 0.977 0.407
O2 O 0.000 0.091 0.182
O3 O 0.500 0.601 0.202
O4 O 0.000 0.909 0.818
O5 O 0.250 0.281 0.000
O6 O 0.500 0.091 0.182
O7 O 0.750 0.719 0.000
O8 O 0.000 0.601 0.202
O9 O 0.750 0.571 0.593
O10 O 0.250 0.023 0.593
O11 O 0.000 0.399 0.798
O12 O 0.500 0.399 0.798
O13 O 0.500 0.909 0.818
O14 O 0.250 0.429 0.407
Ni1 Ni 0.250 0.348 0.194
Ni2 Ni 0.250 0.154 0.806
Ni3 Ni 0.750 0.846 0.194
Ni4 Ni 0.750 0.652 0.806
# Space group: Cmcm, No. 63
# Formation energy (no corrections) in kJ per mole of atoms: -241
# VASP energy in eV per atom: -7.923


[9]
# SrAlTc2 (GGA-PBEsol, optimized geometry)
data_SrAlTc2
_chemical_formula_sum 'Sr1 Al1 Tc2'
_symmetry_space_group_name_H-M 'P 1'
_symmetry_Int_Tables_number 1
_symmetry_space_group_name_Hall 'P 1'
_cell_length_a 2.903
_cell_length_b 2.903
_cell_length_c 9.861
_cell_angle_alpha 81.54
_cell_angle_beta 81.54
_cell_angle_gamma 60.00
loop_
_atom_site_label
_atom_site_type_symbol
_atom_site_fract_x
_atom_site_fract_y
_atom_site_fract_z
Sr1 Sr 0.252 0.252 0.244
Tc1 Tc 0.014 0.014 0.958
Tc2 Tc 0.747 0.747 0.758
Al1 Al 0.487 0.487 0.540
# Space group: R3m, No. 160
# Energy relative to the elements in eV/atom: 0.51
# VASP energy in eV per atom: -6.605


[10]
# KCdIn2H (GGA-PBEsol, optimized geometry)
data_KCdIn2H
_chemical_formula_sum 'K1 Cd1 In2 H1'
_symmetry_space_group_name_H-M 'P 1'
_symmetry_Int_Tables_number 1
_symmetry_space_group_name_Hall 'P 1'
_cell_length_a 3.614
_cell_length_b 5.960
_cell_length_c 5.960
_cell_angle_alpha 90.00
_cell_angle_beta 90.00
_cell_angle_gamma 90.00
loop_
_atom_site_label
_atom_site_type_symbol
_atom_site_fract_x
_atom_site_fract_y
_atom_site_fract_z
H1 H 0.500 0.000 0.000
Cd1 Cd 0.000 0.000 0.000
K1 K 0.500 0.500 0.500
In1 In 0.000 0.000 0.500
In2 In 0.000 0.500 0.000
# Space group: P4/mmm, No. 123
# VASP energy in eV per atom: -2.043


[11]
# BeTlCd (GGA-PBEsol, optimized geometry)
data_BeTlCd
_chemical_formula_sum 'Be1 Tl1 Cd1'
_symmetry_space_group_name_H-M 'P 1'
_symmetry_Int_Tables_number 1
_symmetry_space_group_name_Hall 'P 1'
_cell_length_a 3.700
_cell_length_b 4.321
_cell_length_c 4.321
_cell_angle_alpha 120.00
_cell_angle_beta 90.00
_cell_angle_gamma 90.00
loop_
_atom_site_label
_atom_site_type_symbol
_atom_site_fract_x
_atom_site_fract_y
_atom_site_fract_z
Cd1 Cd 0.790 0.667 0.333
Tl1 Tl 0.294 0.333 0.667
Be1 Be 0.916 0.000 0.000
# Space group: P3m1, No. 156
# Energy relative to the elements in eV/atom: 0.51
# VASP energy in eV per atom: -2.101


[12]
# Cd2Pb3 (GGA-PBEsol, optimized geometry)
data_Cd2Pb3
_chemical_formula_sum 'Cd2 Pb3'
_symmetry_space_group_name_H-M 'P 1'
_symmetry_Int_Tables_number 1
_symmetry_space_group_name_Hall 'P 1'
_cell_length_a 3.405
_cell_length_b 3.405
_cell_length_c 13.413
_cell_angle_alpha 82.71
_cell_angle_beta 82.71
_cell_angle_gamma 60.00
loop_
_atom_site_label
_atom_site_type_symbol
_atom_site_fract_x
_atom_site_fract_y
_atom_site_fract_z
Cd1 Cd 0.398 0.398 0.805
Cd2 Cd 0.602 0.602 0.195
Pb1 Pb 0.796 0.796 0.611
Pb2 Pb 0.204 0.204 0.389
Pb3 Pb 0.000 0.000 0.000
# Space group: R-3m, No. 166
# Polymorph energy (0 for the lowest one) in eV/atom: 0.001
# Energy relative to the elements in eV/atom: 0.07
# VASP energy in eV per atom: -2.810